Material: AcGePt2
Method: DFT, PBE-GGA
State: relaxed

Lattice parameters (Å, degrees): 4.502 4.502 19.814 90.00 90.00 90.00
Fractional coordinates of all 16 atoms:
Ac: 0.010 0.980 0.000
Ac: 0.020 0.010 0.250
Ac: 0.980 0.990 0.750
Ac: 0.990 0.020 0.500
Ge: 0.471 0.480 0.836
Ge: 0.480 0.529 0.586
Ge: 0.520 0.471 0.086
Ge: 0.529 0.520 0.336
Pt: 0.019 0.491 0.131
Pt: 0.482 0.483 0.715
Pt: 0.483 0.518 0.465
Pt: 0.491 0.981 0.881
Pt: 0.509 0.019 0.381
Pt: 0.517 0.482 0.965
Pt: 0.518 0.517 0.215
Pt: 0.981 0.509 0.631

Spin magnetization (μB per formula unit): 0.00
Space-group type: P4_1, No. 76
DFT formation energy (eV per atom): -0.904
VASP energy (eV per atom): -6.11
Calculated density (Mg/m³): 11.41